Run one
First-principles (GGA-PBE) data for an optimized crystal structure of Hf2MnN2, as listed in Alexandria.

Values from the calculation:
SG   No. 127

a b c (Å): 6.111 6.111 3.047
angles (deg): 90.00 90.00 90.00
Positions (direct):
Hf 0.165 0.335 0.000
Hf 0.335 0.835 0.000
Hf 0.665 0.165 0.000
Hf 0.835 0.665 0.000
Mn 0.000 0.000 0.500
Mn 0.500 0.500 0.500
N 0.153 0.653 0.500
N 0.347 0.153 0.500
N 0.653 0.847 0.500
N 0.847 0.347 0.500

---

Run two
First-principles (GGA-PBE) data for an optimized crystal structure of Hf2MnN2, as listed in Alexandria.

Values from the calculation:
SG   No. 139

a b c (Å): 5.005 5.005 5.005
angles (deg): 127.61 127.61 77.25
Positions (direct):
Hf 0.250 0.750 0.500
Hf 0.750 0.250 0.500
Mn 0.000 0.000 0.000
N 0.242 0.242 0.000
N 0.758 0.758 0.000

---

Least stable = run one

---

Run one
First-principles (GGA-PBE) data for an optimized crystal structure of HfMnSe2N, as listed in Alexandria.

Values from the calculation:
SG   No. 123

a b c (Å): 4.918 4.918 3.475
angles (deg): 90.00 90.00 90.00
Positions (direct):
Hf 0.000 0.000 0.000
Mn 0.500 0.500 0.500
Se 0.000 0.500 0.500
Se 0.500 0.000 0.500
N 0.500 0.500 0.000

---

Run two
First-principles (GGA-PBE) data for an optimized crystal structure of HfMnSe2N, as listed in Alexandria.

Values from the calculation:
SG   No. 123

a b c (Å): 5.270 5.270 4.021
angles (deg): 90.00 90.00 90.00
Positions (direct):
Hf 0.000 0.000 0.000
Mn 0.500 0.500 0.500
Se 0.000 0.500 0.000
Se 0.500 0.000 0.000
N 0.000 0.000 0.500

---

Least stable = run two